VASP calculation (PBE) on crystalline MgIn2GeW at its relaxed geometry.

Values from the calculation:
For the magnetization, the calculation gives 0.727 μB/atom. The value obtained for the formation energy is 1522 meV/atom. The crystal system is tetragonal. As for the mass density: 6.61 g cm⁻³. Its density of states at the Fermi level is 3.291 states/eV/cell.

```
data_MgIn2GeW
_chemical_formula_sum 'Mg1 In2 Ge1 W1'
_cell_length_a 5.199
_cell_length_b 5.199
_cell_length_c 4.748
_cell_angle_alpha 90.00
_cell_angle_beta 90.00
_cell_angle_gamma 90.00
_symmetry_space_group_name_H-M 'P 4/m m m'
_symmetry_Int_Tables_number 123
_symmetry_space_group_name_Hall '-P 4 2'
loop_
_atom_site_label
_atom_site_fract_x
_atom_site_fract_y
_atom_site_fract_z
_atom_site_occupancy
Mg1 0.000 0.000 0.000 1
In1 0.000 0.500 0.000 1
Ge1 0.000 0.000 0.500 1
W1 0.500 0.500 0.500 1
```

***

VASP calculation (PBE) on crystalline Sr2ThCuS5 at its relaxed geometry.

Values from the calculation:
The calculation puts the raw total energy at -5.55 eV per atom. For the magnetization, the calculation gives 0.000 μB/atom. The crystal system is orthorhombic. As for the mass density: 4.74 g cm⁻³. Its density of states at the Fermi level is 19.903 states/eV/cell.

```
data_Sr2ThCuS5
_chemical_formula_sum 'Sr8 Th4 Cu4 S20'
_cell_length_a 4.055
_cell_length_b 17.731
_cell_length_c 12.314
_cell_angle_alpha 90.00
_cell_angle_beta 90.00
_cell_angle_gamma 90.00
_symmetry_space_group_name_H-M 'C m c 21'
_symmetry_Int_Tables_number 36
loop_
_symmetry_equiv_pos_as_xyz
'x,y,z'
'-x,-y,z+1/2'
'-x,y,z'
'x,-y,z+1/2'
'x+1/2,y+1/2,z'
'-x+1/2,-y+1/2,z+1/2'
'-x+1/2,y+1/2,z'
'x+1/2,-y+1/2,z+1/2'
loop_
_atom_site_label
_atom_site_fract_x
_atom_site_fract_y
_atom_site_fract_z
_atom_site_occupancy
Sr1 0.000 0.113 0.000 1
Sr2 0.000 0.116 0.653 1
Th1 0.000 0.194 0.334 1
Cu1 0.000 0.448 0.740 1
S1 0.000 0.033 0.322 1
S2 0.000 0.302 0.988 1
S3 0.000 0.312 0.678 1
S4 0.000 0.348 0.327 1
S5 0.000 0.497 0.076 1
```

***

VASP calculation (PBE) on crystalline ErHfIn at its relaxed geometry.

Values from the calculation:
For the magnetization, the calculation gives 0.000 μB/atom. The value obtained for the formation energy is -182 meV/atom. The crystal system is tetragonal. As for the mass density: 10.32 g cm⁻³. Its density of states at the Fermi level is 4.619 states/eV/cell.

```
data_ErHfIn
_chemical_formula_sum 'Er2 Hf2 In2'
_cell_length_a 3.375
_cell_length_b 3.375
_cell_length_c 13.013
_cell_angle_alpha 90.00
_cell_angle_beta 90.00
_cell_angle_gamma 90.00
_symmetry_space_group_name_H-M 'I 4 m m'
_symmetry_Int_Tables_number 107
_symmetry_space_group_name_Hall 'I 4 -2'
loop_
_atom_site_label
_atom_site_fract_x
_atom_site_fract_y
_atom_site_fract_z
_atom_site_occupancy
Er1 0.000 0.000 0.000 1
Hf1 0.000 0.000 0.328 1
In1 0.000 0.000 0.673 1
```

***

VASP calculation (PBE) on crystalline La2ReAs2 at its relaxed geometry.

Values from the calculation:
For the magnetization, the calculation gives 0.000 μB/atom. The value obtained for the formation energy is -103 meV/atom. The crystal system is tetragonal. As for the mass density: 8.35 g cm⁻³. Its density of states at the Fermi level is 8.259 states/eV/cell.

```
data_La2ReAs2
_chemical_formula_sum 'La4 Re2 As4'
_cell_length_a 3.722
_cell_length_b 3.722
_cell_length_c 17.620
_cell_angle_alpha 90.00
_cell_angle_beta 90.00
_cell_angle_gamma 90.00
_symmetry_space_group_name_H-M 'I 4/m m m'
_symmetry_Int_Tables_number 139
_symmetry_space_group_name_Hall '-I 4 2'
loop_
_atom_site_label
_atom_site_fract_x
_atom_site_fract_y
_atom_site_fract_z
_atom_site_occupancy
La1 0.000 0.000 0.100 1
Re1 0.000 0.000 0.500 1
As1 0.000 0.500 0.250 1
```

***

Question: mass density of number 4 (La2ReAs2)?
Answer: 8.35 g cm⁻³